# TiFeOsO6 PBE with a Hubbard U optimized geometry
# * size of the total moment: 0.22 μB per atom
# * raw total energy: -0.2861 hartree per atom
# * N(E_F): 0.0274 states/eV per atom
data_TiFeOsO6
_cell_length_a 5.0053
_cell_length_b 5.0053
_cell_length_c 8.9727
_cell_angle_alpha 90.00
_cell_angle_beta 90.00
_cell_angle_gamma 120.00
_space_group_name_H-M_alt 'P -3 1 c'
_space_group_IT_number 163
_space_group_name_Hall '-P 3 2c'
loop_
_atom_site_label
_atom_site_type_symbol
_atom_site_fract_x
_atom_site_fract_y
_atom_site_fract_z
Ti1 Ti 0.3333 0.6667 0.2500
Fe1 Fe 0.0000 0.0000 0.0000
Os1 Os 0.3333 0.6667 0.7500
O1 O 0.0005 0.3396 0.6297